# 1
Dy2HoN4 after structural relaxation. Source: OQMD via LeMat-Bulk, functional PBE.

POSCAR file:
```
Dy2HoN4
1.0
4.129 0.000 0.000
0.000 4.129 0.000
0.000 0.000 5.870
Dy Ho N
2 1 4
Cartesian
0.000 0.000 0.000 Dy
2.064 2.064 2.935 Dy
0.000 0.000 2.935 Ho
0.000 2.064 1.577 N
0.000 2.064 4.293 N
2.064 0.000 1.577 N
2.064 0.000 4.293 N
```

For the uncorrected energy, the calculation gives -49.1 eV/cell. As for the symmetry: P4/mmm (123).


# 2
Dy2HoN3 after structural relaxation. Source: OQMD via LeMat-Bulk, functional PBE.

POSCAR file:
```
Dy2HoN3
1.0
3.451 0.000 0.000
-1.725 2.988 0.000
0.000 0.000 8.458
Dy Ho N
2 1 3
Cartesian
0.000 1.992 2.818 Dy
1.725 0.996 5.640 Dy
0.000 0.000 0.000 Ho
0.000 0.000 4.229 N
0.000 1.992 7.051 N
1.725 0.996 1.407 N
```

For the uncorrected energy, the calculation gives -49.1 eV/cell. As for the symmetry: P-3m1 (164).


# 3
DyHo2N3 after structural relaxation. Source: OQMD via LeMat-Bulk, functional PBE.

POSCAR file:
```
DyHo2N3
1.0
3.444 0.000 0.000
-1.722 2.982 0.000
0.000 0.000 8.442
Dy Ho N
1 2 3
Cartesian
0.000 0.000 0.000 Dy
0.000 1.988 2.815 Ho
1.722 0.994 5.627 Ho
0.000 0.000 4.221 N
0.000 1.988 7.032 N
1.722 0.994 1.409 N
```

For the uncorrected energy, the calculation gives -49.1 eV/cell. As for the symmetry: P-3m1 (164).


# 4
DyHoNO after structural relaxation. Source: OQMD via LeMat-Bulk, functional PBE.

POSCAR file:
```
DyHoNO
1.0
3.408 0.000 0.000
0.000 3.408 0.000
0.000 0.000 4.800
Dy Ho N O
1 1 1 1
Cartesian
0.000 0.000 0.000 Dy
1.704 1.704 2.400 Ho
1.704 1.704 0.000 N
0.000 0.000 2.400 O
```

Its energy above the most stable polymorph in this dataset is 0 meV/atom. As for the symmetry: P4/mmm (123).


# 5
DyHoNO after structural relaxation. Source: OQMD via LeMat-Bulk, functional PBE.

POSCAR file:
```
DyHoNO
1.0
4.389 0.000 0.000
0.000 4.389 0.000
0.000 0.000 7.758
Dy Ho N O
2 2 2 2
Cartesian
1.097 1.097 0.704 Dy
3.292 3.292 7.054 Dy
1.097 3.292 3.879 Ho
3.292 1.097 3.879 Ho
1.097 1.097 4.510 N
3.292 3.292 3.248 N
1.097 3.292 0.000 O
3.292 1.097 0.000 O
```

Its energy above the most stable polymorph in this dataset is 530 meV/atom. As for the symmetry: P4/nmm (129).


# 6
DyHoNO after structural relaxation. Source: OQMD via LeMat-Bulk, functional PBE.

POSCAR file:
```
DyHoNO
1.0
4.849 0.000 0.000
0.000 3.949 0.000
0.000 0.000 6.855
Dy Ho N O
2 2 2 2
Cartesian
1.212 0.000 1.131 Dy
3.637 0.000 5.724 Dy
1.212 1.975 4.574 Ho
3.637 1.975 2.281 Ho
1.212 1.975 2.311 N
3.637 1.975 4.544 N
1.212 0.000 5.647 O
3.637 0.000 1.208 O
```

Its energy above the most stable polymorph in this dataset is 100 meV/atom. As for the symmetry: Pmma (51).


# 7
DyHoNO after structural relaxation. Source: OQMD via LeMat-Bulk, functional PBE.

POSCAR file:
```
DyHoNO
1.0
8.025 0.000 0.000
0.000 6.579 0.000
0.000 0.000 4.908
Dy Ho N O
4 4 4 4
Cartesian
1.022 0.544 1.227 Dy
1.022 2.745 3.681 Dy
7.003 3.834 1.227 Dy
7.003 6.035 3.681 Dy
3.035 3.749 1.227 Ho
3.035 6.120 3.681 Ho
4.990 0.459 1.227 Ho
4.990 2.830 3.681 Ho
1.013 0.451 3.681 N
1.013 2.839 1.227 N
7.012 3.740 3.681 N
7.012 6.128 1.227 N
2.967 3.911 3.681 O
2.967 5.958 1.227 O
5.058 0.621 3.681 O
5.058 2.668 1.227 O
```

Its energy above the most stable polymorph in this dataset is 130 meV/atom. As for the symmetry: Pbcm (57).


# 8
DyHoNO after structural relaxation. Source: OQMD via LeMat-Bulk, functional PBE.

POSCAR file:
```
DyHoNO
1.0
8.018 0.000 0.000
0.000 6.590 0.000
0.000 0.000 4.901
Dy Ho N O
4 4 4 4
Cartesian
0.981 0.458 1.225 Dy
0.981 2.837 3.676 Dy
7.037 3.754 1.225 Dy
7.037 6.132 3.676 Dy
2.995 3.846 1.225 Ho
2.995 6.039 3.676 Ho
5.023 0.551 1.225 Ho
5.023 2.744 3.676 Ho
3.016 3.763 3.676 N
3.016 6.123 1.225 N
5.002 0.468 3.676 N
5.002 2.828 1.225 N
1.073 0.614 3.676 O
1.073 2.681 1.225 O
6.945 3.910 3.676 O
6.945 5.976 1.225 O
```

Its energy above the most stable polymorph in this dataset is 121 meV/atom. As for the symmetry: Pbcm (57).


# 9
DyHoNO after structural relaxation. Source: OQMD via LeMat-Bulk, functional PBE.

POSCAR file:
```
DyHoNO
1.0
4.236 0.000 0.000
0.000 4.236 0.000
0.000 0.000 7.830
Dy Ho N O
2 2 2 2
Cartesian
1.059 3.177 0.000 Dy
3.177 1.059 0.000 Dy
1.059 1.059 3.107 Ho
3.177 3.177 4.723 Ho
1.059 1.059 6.855 N
3.177 3.177 0.975 N
1.059 3.177 3.915 O
3.177 1.059 3.915 O
```

Its energy above the most stable polymorph in this dataset is 586 meV/atom. As for the symmetry: P4/nmm (129).


# 10
DyHoNO after structural relaxation. Source: OQMD via LeMat-Bulk, functional PBE.

POSCAR file:
```
DyHoNO
1.0
4.854 0.000 0.000
0.000 3.949 0.000
0.000 0.000 6.856
Dy Ho N O
2 2 2 2
Cartesian
1.214 0.000 1.145 Dy
3.641 0.000 5.712 Dy
1.214 1.975 4.567 Ho
3.641 1.975 2.289 Ho
1.214 0.000 5.720 N
3.641 0.000 1.137 N
1.214 1.975 2.260 O
3.641 1.975 4.596 O
```

Its energy above the most stable polymorph in this dataset is 108 meV/atom. As for the symmetry: Pmma (51).


# 11
DyHoTlN after structural relaxation. Source: OQMD via LeMat-Bulk, functional PBE.

POSCAR file:
```
DyHoTlN
1.0
3.523 0.000 0.000
-1.761 3.051 0.000
0.000 0.000 15.730
Dy Ho Tl N
2 2 2 2
Cartesian
0.000 2.034 1.327 Dy
1.761 1.017 14.403 Dy
0.000 2.034 6.549 Ho
1.761 1.017 9.181 Ho
0.000 2.034 11.785 Tl
1.761 1.017 3.945 Tl
0.000 0.000 0.000 N
0.000 0.000 7.865 N
```

For the uncorrected energy, the calculation gives -47.8 eV/cell. As for the symmetry: P-3m1 (164).


# 12
DyHoTlN after structural relaxation. Source: OQMD via LeMat-Bulk, functional PBE.

POSCAR file:
```
DyHoTlN
1.0
3.523 0.000 0.000
-1.761 3.051 0.000
0.000 0.000 15.729
Dy Ho Tl N
2 2 2 2
Cartesian
0.000 0.000 2.613 Dy
0.000 0.000 13.116 Dy
0.000 2.034 5.256 Ho
0.000 2.034 10.473 Ho
0.000 0.000 7.865 Tl
0.000 2.034 0.000 Tl
1.761 1.017 3.953 N
1.761 1.017 11.777 N
```

For the uncorrected energy, the calculation gives -47.8 eV/cell. As for the symmetry: P-6m2 (187).


# 13
Na3Dy2HoPb3 after structural relaxation. Source: OQMD via LeMat-Bulk, functional PBE.

POSCAR file:
```
Na3Dy2HoPb3
1.0
5.206 0.000 0.000
-2.603 4.508 0.000
0.000 0.000 10.420
Na Dy Ho Pb
3 2 1 3
Cartesian
0.000 0.000 0.000 Na
0.000 3.006 3.320 Na
0.000 3.006 7.100 Na
2.603 1.503 1.733 Dy
2.603 1.503 8.687 Dy
2.603 1.503 5.210 Ho
0.000 0.000 3.554 Pb
0.000 0.000 6.867 Pb
0.000 3.006 0.000 Pb
```

For the uncorrected energy, the calculation gives -30.7 eV/cell. As for the symmetry: P-6m2 (187).


# 14
DyHoNb2Si2 after structural relaxation. Source: OQMD via LeMat-Bulk, functional PBE.

POSCAR file:
```
DyHoNb2Si2
1.0
3.997 0.000 0.000
0.000 3.997 0.000
0.000 0.000 7.771
Dy Ho Nb Si
1 1 2 2
Cartesian
0.000 0.000 0.000 Dy
1.999 1.999 2.282 Ho
0.000 1.999 5.025 Nb
1.999 0.000 5.025 Nb
0.000 0.000 3.162 Si
1.999 1.999 6.888 Si
```

For the uncorrected energy, the calculation gives -44.0 eV/cell. As for the symmetry: P4mm (99).


# 15
Nd3DyHo2 after structural relaxation. Source: OQMD via LeMat-Bulk, functional PBE.

POSCAR file:
```
Nd3DyHo2
1.0
5.419 -3.129 0.000
5.419 3.129 0.000
0.000 0.000 11.588
Nd Dy Ho
6 2 4
Cartesian
0.000 0.000 0.000 Nd
0.000 0.000 5.794 Nd
3.610 0.000 0.000 Nd
3.610 0.000 5.794 Nd
7.229 0.000 0.000 Nd
7.229 0.000 5.794 Nd
5.419 1.042 8.691 Dy
5.419 -1.042 2.897 Dy
7.225 -2.086 8.691 Ho
3.613 2.086 2.897 Ho
7.225 2.086 2.897 Ho
3.613 -2.086 8.691 Ho
```

As for the symmetry: Cmcm (63). The formation energy is 0.00 eV per atom.


# 16
Nd3DyHo2NiTe2 after structural relaxation. Source: OQMD via LeMat-Bulk, functional PBE.

POSCAR file:
```
Nd3DyHo2NiTe2
1.0
4.014 0.000 0.000
0.000 7.355 4.244
0.000 -7.355 4.244
Nd Dy Ho Ni Te
3 1 2 1 2
Cartesian
0.000 0.000 0.000 Nd
0.000 -2.980 5.157 Nd
0.000 2.980 5.157 Nd
2.007 0.000 5.433 Dy
2.007 -1.726 2.442 Ho
2.007 1.726 2.442 Ho
0.000 0.000 3.433 Ni
2.007 -4.902 3.438 Te
2.007 4.902 3.438 Te
```

For the uncorrected energy, the calculation gives -46.6 eV/cell. As for the symmetry: Amm2 (38).


# 17
Nd3Dy2HoNiTe2 after structural relaxation. Source: OQMD via LeMat-Bulk, functional PBE.

POSCAR file:
```
Nd3Dy2HoNiTe2
1.0
4.003 0.000 0.000
0.000 7.366 4.261
0.000 -7.366 4.261
Nd Dy Ho Ni Te
3 2 1 1 2
Cartesian
0.000 0.000 0.000 Nd
0.000 -2.993 3.323 Nd
0.000 2.993 3.323 Nd
2.001 -1.726 6.054 Dy
2.001 1.726 6.054 Dy
2.001 0.000 3.060 Ho
0.000 0.000 5.040 Ni
2.001 -4.913 5.056 Te
2.001 4.913 5.056 Te
```

For the uncorrected energy, the calculation gives -46.6 eV/cell. As for the symmetry: Amm2 (38).


# 18
Dy2Ho2Ni after structural relaxation. Source: OQMD via LeMat-Bulk, functional PBE.

POSCAR file:
```
Dy2Ho2Ni
1.0
5.319 0.000 0.000
-2.659 4.606 0.000
0.000 0.000 10.739
Dy Ho Ni
4 4 2
Cartesian
0.000 3.071 1.035 Dy
0.000 3.071 4.334 Dy
2.659 1.535 6.405 Dy
2.659 1.535 9.704 Dy
0.000 0.000 0.000 Ho
0.000 0.000 5.369 Ho
0.000 3.071 8.054 Ho
2.659 1.535 2.685 Ho
0.000 0.000 2.685 Ni
0.000 0.000 8.054 Ni
```

As for the symmetry: P6_3/mmc (194). The formation energy is 0.02 eV per atom.


# 19
Dy3HoNi4 after structural relaxation. Source: OQMD via LeMat-Bulk, functional PBE.

POSCAR file:
```
Dy3HoNi4
1.0
5.411 0.000 0.000
0.000 4.173 0.000
-0.001 0.000 7.037
Dy Ho Ni
3 1 4
Cartesian
0.000 0.000 0.000 Dy
1.295 0.000 3.517 Dy
4.000 2.086 4.506 Dy
2.706 2.086 0.988 Ho
1.324 2.086 5.506 Ni
2.675 0.000 6.040 Ni
4.029 0.000 2.519 Ni
5.381 2.086 1.986 Ni
```

As for the symmetry: Pm (6). The formation energy is -0.46 eV per atom.


# 20
DyHoNi2Pb after structural relaxation. Source: OQMD via LeMat-Bulk, functional PBE.

POSCAR file:
```
DyHoNi2Pb
1.0
3.665 0.000 0.000
0.000 1.993 7.118
0.000 -1.993 7.118
Dy Ho Ni Pb
1 1 2 1
Cartesian
0.000 0.000 0.000 Dy
0.000 0.000 10.239 Ho
1.832 0.000 2.268 Ni
1.832 0.000 7.980 Ni
1.832 0.000 5.117 Pb
```

For the uncorrected energy, the calculation gives -26.6 eV/cell. As for the symmetry: Amm2 (38).


# 21
Dy2HoNiPd2Pb3 after structural relaxation. Source: OQMD via LeMat-Bulk, functional PBE.

POSCAR file:
```
Dy2HoNiPd2Pb3
1.0
3.804 0.000 0.000
0.000 6.740 3.896
0.000 -6.740 3.896
Dy Ho Ni Pd Pb
2 1 1 2 3
Cartesian
0.000 -4.041 3.896 Dy
0.000 4.041 3.896 Dy
0.000 0.000 3.111 Ho
0.000 0.000 6.229 Ni
1.902 -2.240 2.338 Pd
1.902 2.240 2.338 Pd
1.902 0.000 0.444 Pb
1.902 -1.733 5.228 Pb
1.902 1.733 5.228 Pb
```

For the uncorrected energy, the calculation gives -46.7 eV/cell. As for the symmetry: Amm2 (38).


# 22
Dy2HoNiPt2Pb3 after structural relaxation. Source: OQMD via LeMat-Bulk, functional PBE.

POSCAR file:
```
Dy2HoNiPt2Pb3
1.0
3.777 0.000 0.000
0.000 6.764 3.910
0.000 -6.764 3.910
Dy Ho Ni Pt Pb
2 1 1 2 3
Cartesian
0.000 -4.036 3.910 Dy
0.000 4.036 3.910 Dy
0.000 0.000 3.088 Ho
0.000 0.000 6.242 Ni
1.889 -2.250 2.335 Pt
1.889 2.250 2.335 Pt
1.889 0.000 0.423 Pb
1.889 -1.728 5.242 Pb
1.889 1.728 5.242 Pb
```

For the uncorrected energy, the calculation gives -49.4 eV/cell. As for the symmetry: Amm2 (38).


# 23
Dy2HoNiSn3Pt2 after structural relaxation. Source: OQMD via LeMat-Bulk, functional PBE.

POSCAR file:
```
Dy2HoNiSn3Pt2
1.0
3.916 0.000 0.000
0.000 6.495 3.754
0.000 -6.495 3.754
Dy Ho Ni Sn Pt
2 1 1 3 2
Cartesian
0.000 -3.864 3.754 Dy
0.000 3.864 3.754 Dy
0.000 0.000 2.948 Ho
0.000 0.000 5.984 Ni
1.958 0.000 0.349 Sn
1.958 -1.616 5.052 Sn
1.958 1.616 5.052 Sn
1.958 -2.159 2.235 Pt
1.958 2.159 2.235 Pt
```

For the uncorrected energy, the calculation gives -52.4 eV/cell. As for the symmetry: Amm2 (38).